Entry from Alexandria: crystalline NaAc2Dy at its relaxed geometry (PBE).

## Properties
Its polymorph energy (0 for the lowest one) is 25 meV per atom. Its energy is -3.43 eV/atom. The energy relative to the elements comes out at 103 meV/atom.

Cell: 3.8050 3.8050 11.1352 Å, 90.00 90.00 90.00°
With the nearest neighbours (Å) after each atom.
Space group P4/mmm (No. 123)
Asymmetric unit:
Na: 0.0000 0.0000 0.0000 [1 per cell]  4 Na 3.80, 8 Ac 4.00
Ac: 0.5000 0.5000 0.2662 [2 per cell]  4 Dy 3.74, 4 Ac 3.80, 4 Na 4.00
Dy: 0.0000 0.0000 0.5000 [1 per cell]  8 Ac 3.74, 4 Dy 3.80

***

Entry from Alexandria: crystalline Dy3Sc3Tl2 at its relaxed geometry (PBE).

## Properties
Its polymorph energy (0 for the lowest one) is 63 meV per atom. Its energy is -4.80 eV/atom. The energy relative to the elements comes out at -112 meV/atom.

Cell: 4.8158 11.4998 16.0293 Å, 90.00 90.00 90.00°
With the nearest neighbours (Å) after each atom.
Space group Cmcm (No. 63)
Asymmetric unit:
Dy: 0.0000 0.0585 0.1040 [8 per cell]  3 Tl 3.32-3.44, 6 Sc 3.38-3.45, 2 Dy 3.60-3.70
Dy: 0.0000 0.3079 0.2500 [4 per cell]  4 Tl 3.24, 5 Sc 3.28-3.45
Sc: 0.0000 0.3708 0.0415 [8 per cell]  3 Tl 2.93-3.02, 1 Sc 3.26
Sc: 0.0000 0.4068 0.7500 [4 per cell]  2 Tl 2.95, 1 Dy 3.28
Tl: 0.0000 0.2293 0.6172 [8 per cell]  4 Sc 2.93-3.02, 2 Dy 3.24

***

Entry from Alexandria: crystalline Tb3DySe6 at its relaxed geometry (PBE).

## Properties
Its polymorph energy (0 for the lowest one) is 0 meV per atom. The formation energy from raw total energies is -179.9 kJ per mole of atoms. Its energy is -5.80 eV/atom.

Cell: 11.5976 4.1122 11.8919 Å, 90.00 109.04 90.00°
With the nearest neighbours (Å) after each atom.
Space group P2_1/m (No. 11)
Asymmetric unit:
Tb: 0.0695 0.2500 0.1680 [2 per cell]  6 Se 2.82-2.91
Tb: 0.1828 0.7500 0.5022 [2 per cell]  7 Se 2.83-3.09
Tb: 0.3408 0.2500 0.9176 [2 per cell]  6 Se 2.81-2.91
Dy: 0.4572 0.2500 0.3091 [2 per cell]  8 Se 2.94-3.14
Se: 0.0196 0.2500 0.3845 [2 per cell]  4 Tb 2.82-3.06
Se: 0.1029 0.2500 0.9363 [2 per cell]  4 Tb 2.84-2.90
Se: 0.2488 0.7500 0.2783 [2 per cell]  3 Tb 2.91-3.00, 2 Dy 3.10
Se: 0.3094 0.7500 0.7497 [2 per cell]  3 Tb 2.81-2.83, 1 Dy 3.01
Se: 0.3900 0.2500 0.5354 [2 per cell]  3 Dy 2.94-3.04, 2 Tb 3.09
Se: 0.4171 0.7500 0.1001 [2 per cell]  3 Tb 2.88-2.91, 2 Dy 3.14

***

Entry from Alexandria: crystalline DyInCoPd at its relaxed geometry (PBE).

## Properties
Its energy is -5.33 eV/atom. The energy relative to the elements comes out at -422 meV/atom.

Cell: 6.6388 6.6388 6.6388 Å, 90.00 90.00 90.00°
With the nearest neighbours (Å) after each atom.
Space group F-43m (No. 216)
Asymmetric unit:
Dy: 0.0000 0.0000 0.0000 [4 per cell]  4 Co 2.87, 4 Pd 2.87
In: 0.0000 0.0000 0.5000 [4 per cell]  4 Co 2.87, 4 Pd 2.87
Co: 0.2500 0.2500 0.7500 [4 per cell]  4 In 2.87, 4 Dy 2.87
Pd: 0.2500 0.2500 0.2500 [4 per cell]  4 In 2.87, 4 Dy 2.87

***

Entry from Alexandria: crystalline LiLa2Ga2Rh5 at its relaxed geometry (PBE).

## Properties
Its energy is -6.04 eV/atom. The energy relative to the elements comes out at -579 meV/atom.

Cell: 10.0652 10.0652 3.5565 Å, 90.00 90.00 90.00°
With the nearest neighbours (Å) after each atom.
Space group P4/mbm (No. 127)
Asymmetric unit:
Li: 0.0000 0.0000 0.0000 [2 per cell]  8 Rh 2.82
La: 0.1760 0.3240 0.0000 [4 per cell]  3 Ga 2.86-3.06, 6 Rh 3.07-3.17
Ga: 0.1232 0.6232 0.0000 [4 per cell]  6 Rh 2.50-2.54
Rh: 0.0000 0.5000 0.5000 [2 per cell]  4 Ga 2.50
Rh: 0.0647 0.7929 0.5000 [8 per cell]  2 Ga 2.54, 2 Li 2.82

***

Entry from Alexandria: crystalline AcMgRh at its relaxed geometry (PBE).

## Properties
Its polymorph energy (0 for the lowest one) is 177 meV per atom. Its energy is -4.74 eV/atom. The energy relative to the elements comes out at -384 meV/atom.

Cell: 6.9474 6.9474 6.9474 Å, 90.00 90.00 90.00°
With the nearest neighbours (Å) after each atom.
Space group F-43m (No. 216)
Asymmetric unit:
Ac: 0.0000 0.0000 0.0000 [4 per cell]  4 Rh 3.01
Mg: 0.0000 0.0000 0.5000 [4 per cell]  4 Rh 3.01
Rh: 0.2500 0.2500 0.7500 [4 per cell]  4 Ac 3.01, 4 Mg 3.01

***

Entry from Alexandria: crystalline Mn2CoPdN at its relaxed geometry (PBE).

## Properties
The formation energy from raw total energies is -0.9 kJ per mole of atoms. Its energy is -7.80 eV/atom.

Cell: 3.7646 3.7646 3.8096 Å, 90.00 90.00 90.00°
With the nearest neighbours (Å) after each atom.
Space group P4/mmm (No. 123)
Asymmetric unit:
Mn: 0.0000 0.5000 0.0000 [2 per cell]  2 N 1.88
Co: 0.0000 0.0000 0.5000 [1 per cell]  2 N 1.90
Pd: 0.5000 0.5000 0.5000 [1 per cell]  4 Co 2.66, 8 Mn 2.68
N: 0.0000 0.0000 0.0000 [1 per cell]  4 Mn 1.88, 2 Co 1.90

***

Entry from Alexandria: crystalline YErGePd at its relaxed geometry (PBE).

## Properties
Its polymorph energy (0 for the lowest one) is 0 meV per atom. Its energy is -6.11 eV/atom. The energy relative to the elements comes out at -901 meV/atom.

Cell: 4.3230 3.8832 10.8233 Å, 90.00 90.00 90.00°
With the nearest neighbours (Å) after each atom.
Space group Amm2 (No. 38)
Asymmetric unit:
Y: 0.0000 0.0000 0.0000 [2 per cell]  4 Pd 2.98, 3 Ge 2.99-3.10
Er: 0.5000 0.0000 0.7212 [2 per cell]  4 Ge 2.97, 3 Pd 3.05-3.06
Ge: 0.0000 0.0000 0.2766 [2 per cell]  2 Pd 2.78, 4 Er 2.97, 3 Y 2.99-3.10
Pd: 0.5000 0.0000 0.4384 [2 per cell]  2 Ge 2.78, 4 Y 2.98, 3 Er 3.05-3.06